Below is a geometry-optimized FeW2I2 structure, with properties calculated at the PBE level.

Unit cell a=4.7093 b=4.7093 c=11.2228 alpha=90.00 beta=90.00 gamma=90.00
Space group I4/mmm (No. 139)
Unique sites:
Fe 0.0000 0.0000 0.0000
W 0.0000 0.0000 0.3988
I 0.0000 0.5000 0.2500

Computed properties:
Crystal system ... tetragonal
Formation energy from raw total energies ... 1.756 eV/atom
ΔE to the lowest computed polymorph ... 0.298 eV/atom
Density ... 9.0 g/cm³

***

Below is a geometry-optimized UTlCoS4 structure, with properties calculated at the PBE level.

Unit cell a=6.5026 b=5.5753 c=8.9224 alpha=90.00 beta=106.16 gamma=90.00
Space group P2_1/m (No. 11)
Unique sites:
U 0.2385 0.2500 0.4498
Tl 0.2353 0.2500 0.9525
Co 0.2624 0.7500 0.6549
S 0.0556 0.7500 0.8158
S 0.0737 0.7500 0.4122
S 0.4815 0.5105 0.2992

Computed properties:
Crystal system ... monoclinic
Formation energy from raw total energies ... -0.783 eV/atom
Density ... 6.7 g/cm³

***

Below is a geometry-optimized LiAcAuO structure, with properties calculated at the PBE level.

Unit cell a=4.2887 b=4.2887 c=9.4157 alpha=90.00 beta=90.00 gamma=90.00
Space group P4/nmm (No. 129, origin choice 2)
Unique sites:
Li 0.2500 0.7500 0.0000
Ac 0.2500 0.2500 0.3666
Au 0.2500 0.2500 0.8363
O 0.2500 0.7500 0.5000

Computed properties:
Crystal system ... tetragonal
Formation energy from raw total energies ... -1.730 eV/atom
Density ... 8.6 g/cm³

***

Below is a geometry-optimized Ba2Ga2SnS6 structure, with properties calculated at the PBE level.

Unit cell a=7.1502 b=7.1502 c=22.5910 alpha=90.00 beta=90.00 gamma=120.00
Space group R-3m (No. 166, hexagonal axes)
Unique sites:
Ba 0.0000 0.0000 0.2099
Ga 0.0000 0.0000 0.4269
Sn 0.0000 0.0000 0.0000
S 0.0196 0.5098 0.7600

Computed properties:
Crystal system ... trigonal
Formation energy from raw total energies ... -1.017 eV/atom
Density ... 3.6 g/cm³

***

Below is a geometry-optimized Al2RhSe structure, with properties calculated at the PBE level.

Unit cell a=3.2895 b=3.4090 c=12.5688 alpha=90.00 beta=90.00 gamma=90.00
Space group Imm2 (No. 44)
Unique sites:
Al 0.0000 0.0000 0.0000
Al 0.0000 0.5000 0.2219
Rh 0.0000 0.5000 0.6529
Se 0.0000 0.0000 0.3998

Computed properties:
Crystal system ... orthorhombic
Formation energy from raw total energies ... -0.411 eV/atom
Density ... 5.6 g/cm³

***

Below is a geometry-optimized CaEu3Au structure, with properties calculated at the PBE level.

Unit cell a=5.9624 b=5.9624 c=5.9624 alpha=90.00 beta=90.00 gamma=90.00
Space group Pm-3m (No. 221)
Unique sites:
Ca 0.0000 0.0000 0.0000
Eu 0.0000 0.5000 0.5000
Au 0.5000 0.5000 0.5000

Computed properties:
Crystal system ... cubic
Formation energy ... -0.277 eV/atom
Density ... 5.4 g/cm³

***

Below is a geometry-optimized BeZnRu2 structure, with properties calculated at the PBE level.

Unit cell a=2.8258 b=2.8258 c=6.2343 alpha=90.00 beta=90.00 gamma=90.00
Space group P4mm (No. 99)
Unique sites:
Be 0.0000 0.0000 0.0000
Zn 0.5000 0.5000 0.7709
Ru 0.0000 0.0000 0.4850
Ru 0.5000 0.5000 0.2140

Computed properties:
Crystal system ... tetragonal
Formation energy ... -0.118 eV/atom
Density ... 9.2 g/cm³

***

Below is a geometry-optimized Y2AgHOs structure, with properties calculated at the PBE level.

Unit cell a=4.9475 b=4.9475 c=3.6805 alpha=90.00 beta=90.00 gamma=90.00
Space group P4/mmm (No. 123)
Unique sites:
Y 0.0000 0.5000 0.0000
Ag 0.0000 0.0000 0.5000
H 0.5000 0.5000 0.0000
Os 0.5000 0.5000 0.5000

Computed properties:
Total energy ... -31.78 eV for the cell shown
Crystal system ... tetragonal
Density ... 8.8 g/cm³

***

Below is a geometry-optimized PtBr2 structure, with properties calculated at the PBE level.

Unit cell a=8.3139 b=8.3139 c=8.3139 alpha=90.00 beta=90.00 gamma=90.00
Space group Fd-3m (No. 227, origin choice 2)
Unique sites:
Pt 0.1250 0.1250 0.1250
Br 0.0000 0.0000 0.5000

Computed properties:
Crystal system ... cubic
Formation energy from raw total energies ... 1.509 eV/atom
Density ... 8.2 g/cm³

***

Below is a geometry-optimized PaSbPd6 structure, with properties calculated at the PBE level.

Unit cell a=5.3551 b=9.2631 c=6.0573 alpha=90.00 beta=90.79 gamma=90.00
Space group C2/m (No. 12)
Unique sites:
Pa 0.0000 0.0000 0.0000
Sb 0.0000 0.0000 0.5000
Pd 0.0601 0.5000 0.2422
Pd 0.2215 0.2204 0.2442

Computed properties:
Crystal system ... monoclinic
Formation energy from raw total energies ... -0.349 eV/atom
ΔE to the lowest computed polymorph ... 0.244 eV/atom
Density ... 11.0 g/cm³

***

Below is a geometry-optimized Pr2Dy8Y structure, with properties calculated at the PBE level.

Unit cell a=16.6378 b=6.6536 c=6.6829 alpha=90.00 beta=99.93 gamma=90.00
Space group C2/m (No. 12)
Unique sites:
Pr 0.2452 0.0000 0.3114
Dy 0.0868 0.2609 0.4019
Dy 0.0885 0.5000 0.9060
Dy 0.1989 0.0000 0.8034
Y 0.0000 0.0000 0.0000

Computed properties:
Crystal system ... monoclinic
Formation energy ... 0.169 eV/atom
ΔE to the lowest computed polymorph ... 0.015 eV/atom
Density ... 7.6 g/cm³

***

Below is a geometry-optimized UPaGa3 structure, with properties calculated at the PBE level.

Unit cell a=7.8822 b=12.8298 c=4.9635 alpha=90.00 beta=90.00 gamma=90.00
Space group Cmcm (No. 63)
Unique sites:
U 0.0000 0.2214 0.2500
Pa 0.0000 0.4279 0.2500
Ga 0.0000 0.0000 0.0000
Ga 0.1593 0.3432 0.7500

Computed properties:
Crystal system ... orthorhombic
Formation energy ... 0.352 eV/atom
Density ... 9.0 g/cm³